[1]
CaSc2Ta: optimized geometry, PBE.

Values from the calculation:
M_tot: 3.3 μB per formula unit
D(E_F): 7.16 states/eV per cell
Crystal system: cubic
Volume: 96.8 Å³ per cell
VASP energy: -6.1471 eV per atom
Space-group type: Fm-3m (225)

Lattice parameters (Å, degrees): 5.1537 5.1537 5.1537 60.00 60.00 60.00
Closest atoms and distances in Å follow each position.
Sites, in units of the cell vectors:
Ca  0.0000  0.0000  0.0000  8 Sc 3.16
Sc  0.7500  0.7500  0.7500  4 Ta 3.16, 4 Ca 3.16
Sc  0.2500  0.2500  0.2500  4 Ta 3.16, 4 Ca 3.16
Ta  0.5000  0.5000  0.5000  8 Sc 3.16

[2]
CaSbOs2: optimized geometry, PBE.

Values from the calculation:
M_tot: 0.0 μB per formula unit
D(E_F): 4.91 states/eV per cell
Crystal system: tetragonal
Volume: 74.3 Å³ per cell
E_form (uncorrected): 2.04 eV/f.u.
VASP energy: -6.6367 eV per atom
Space-group type: P4/mmm (123)

Lattice parameters (Å, degrees): 3.2883 3.2883 6.8733 90.00 90.00 90.00
Closest atoms and distances in Å follow each position.
Sites, in units of the cell vectors:
Os  0.0000  0.0000  0.0360  4 Sb 2.75, 1 Os 2.94, 4 Ca 3.04
Sb  0.5000  0.5000  0.2500  8 Os 2.75
Ca  0.5000  0.5000  0.7500  8 Os 3.04, 4 Ca 3.29
Os  0.0000  0.0000  0.4640  4 Sb 2.75, 1 Os 2.94, 4 Ca 3.04

[3]
Cu15Pd2Rh2: optimized geometry, PBE.

Values from the calculation:
M_tot: 0.0 μB per formula unit
D(E_F): 6.99 states/eV per cell
Crystal system: trigonal
Volume: 249.4 Å³ per cell
VASP energy: -4.4775 eV per atom
Space-group type: R-3m (166)

Lattice parameters (Å, degrees): 6.3549 6.3549 6.3549 81.78 81.78 81.78
Closest atoms and distances in Å follow each position.
Sites, in units of the cell vectors:
Pd  0.3708  0.3708  0.3708  12 Cu 2.76-2.96
Rh  0.9002  0.9002  0.9002  1 Rh 2.49, 6 Cu 2.54-2.64
Cu  0.0000  0.5000  0.0000  8 Cu 2.43-2.45, 2 Rh 2.54
Cu  0.6500  0.6500  0.1590  8 Cu 2.38-2.60, 1 Rh 2.64
Cu  0.5000  0.0000  0.0000  8 Cu 2.43-2.45, 2 Rh 2.54
Cu  0.6913  0.3087  0.0000  8 Cu 2.45-2.60
Cu  0.6500  0.1590  0.6500  8 Cu 2.38-2.60, 1 Rh 2.64
Cu  0.3087  0.6913  0.0000  8 Cu 2.45-2.60
Cu  0.3087  0.0000  0.6913  8 Cu 2.45-2.60
Cu  0.3500  0.8410  0.3500  8 Cu 2.38-2.60, 1 Rh 2.64
Cu  0.1590  0.6500  0.6500  8 Cu 2.38-2.60, 1 Rh 2.64
Cu  0.0000  0.0000  0.5000  8 Cu 2.43-2.45, 2 Rh 2.54
Pd  0.6292  0.6292  0.6292  12 Cu 2.76-2.96
Cu  0.8410  0.3500  0.3500  8 Cu 2.38-2.60, 1 Rh 2.64
Cu  0.3500  0.3500  0.8410  8 Cu 2.38-2.60, 1 Rh 2.64
Cu  0.0000  0.6913  0.3087  8 Cu 2.45-2.60
Cu  0.6913  0.0000  0.3087  8 Cu 2.45-2.60
Cu  0.0000  0.3087  0.6913  8 Cu 2.45-2.60
Rh  0.0998  0.0998  0.0998  1 Rh 2.49, 6 Cu 2.54-2.64